This record from Alexandria via LeMat-Bulk describes ScIn3 after structural relaxation. The functional is PBE.

abc: 3.135 5.137 5.995
angles: 90.00 90.06 90.00
Sites, in units of the cell vectors:
Sc  0.000  0.000  0.000
In  0.496  0.500  0.762
In  0.500  0.000  0.500
In  0.504  0.500  0.238

Its space group is P2/m (10). For the formation energy, the calculation gives -17 kJ per mole of atoms. As for the density of states at the Fermi level: 2.750 states/eV/cell.